# 1
The following is a PBE calculation of crystalline Y2TcBr at its relaxed geometry, from Alexandria.

abc: 4.1196 4.1196 5.8592
angles: 90.00 90.00 90.00
Element x y z (fractional)
Y 0.5000 0.5000 0.3197
Y 0.0000 0.0000 0.8974
Tc 0.5000 0.5000 0.8822
Br 0.0000 0.0000 0.4007

Properties
energy relative to the elements, uncorrected = -0.21 eV per atom
magnetization = 0.00 μB/f.u.

# 2
The following is a PBE calculation of crystalline Cd4Ag4Hg at its relaxed geometry, from Alexandria.

abc: 6.3995 6.3995 9.8329
angles: 90.00 90.00 90.00
Element x y z (fractional)
Hg 0.0000 0.0000 0.0000
Cd 0.7442 0.0000 0.2663
Cd 0.7558 0.5000 0.2337
Ag 0.7787 0.5000 0.9349
Cd 0.0000 0.2558 0.7337
Ag 0.2787 0.0000 0.5651
Cd 0.0000 0.7442 0.7337
Hg 0.5000 0.5000 0.5000
Cd 0.5000 0.2442 0.7663
Ag 0.5000 0.7787 0.0651
Ag 0.2213 0.5000 0.9349
Ag 0.5000 0.2213 0.0651
Cd 0.2442 0.5000 0.2337
Ag 0.0000 0.2787 0.4349
Ag 0.7213 0.0000 0.5651
Cd 0.2558 0.0000 0.2663
Ag 0.0000 0.7213 0.4349
Cd 0.5000 0.7558 0.7663

Properties
DFT formation energy = 61 meV/atom
magnetization = 0.00 μB/f.u.

# 3
The following is a PBE calculation of crystalline KCrPd2 at its relaxed geometry, from Alexandria.

abc: 4.7103 4.7103 4.7103
angles: 60.00 60.00 60.00
Last column: magnetic moment on the atom in μB.
Element x y z (fractional)
K 0.0000 0.0000 0.0000  0.01
Cr 0.5000 0.5000 0.5000  -0.50
Pd 0.2500 0.2500 0.2500  -0.10
Pd 0.7500 0.7500 0.7500  -0.10

Properties
DFT formation energy = 947 meV/atom
magnetization = 0.70 μB/f.u.